No. 1
GGA-PBE PmGd2Sn, relaxed; relative energy among the computed polymorphs = 112 meV/atom; total moment = 15.30 μB/f.u.; volume = 30.0 A^3/atom
1.0
-1.068 3.813 1.233
-3.345 -1.551 1.900
3.718 -0.850 5.852
Gd Sn Pm
2 1 1
Cartesian
0.822 -0.188 1.294
2.896 -0.662 4.558
-2.206 1.131 1.566
-0.347 0.706 4.492



No. 2
GGA-PBE PmGdSn, relaxed; relative energy among the computed polymorphs = 122 meV/atom; total moment = 7.44 μB/f.u.; volume = 29.9 A^3/atom
1.0
-0.108 -2.043 3.267
5.040 -1.109 -0.527
-1.464 4.241 2.604
Gd Sn Pm
1 1 1
Cartesian
0.625 0.975 3.930
-0.106 -2.011 3.215
2.841 0.081 1.465



No. 3
GGA-PBE PmGd2Sn, relaxed; relative energy among the computed polymorphs = 185 meV/atom; total moment = 15.74 μB/f.u.; volume = 29.1 A^3/atom
1.0
5.483 0.000 0.000
2.741 4.748 0.000
2.741 1.583 4.477
Gd Sn Pm
2 1 1
Cartesian
8.224 4.748 3.358
2.741 1.583 1.119
5.483 3.166 2.238
0.000 0.000 0.000



Please write out number 2 again, unchanged.
GGA-PBE PmGdSn, relaxed; relative energy among the computed polymorphs = 122 meV/atom; total moment = 7.44 μB/f.u.; volume = 29.9 A^3/atom
1.0
-0.108 -2.043 3.267
5.040 -1.109 -0.527
-1.464 4.241 2.604
Gd Sn Pm
1 1 1
Cartesian
0.625 0.975 3.930
-0.106 -2.011 3.215
2.841 0.081 1.465



Q: What is the relative energy among the computed polymorphs in the third record?
A: 185 meV/atom



Q: Which value of total moment does entry 3 give?
A: 15.74 μB/f.u.



What did the first record say?
GGA-PBE PmGd2Sn, relaxed; relative energy among the computed polymorphs = 112 meV/atom; total moment = 15.30 μB/f.u.; volume = 30.0 A^3/atom
1.0
-1.068 3.813 1.233
-3.345 -1.551 1.900
3.718 -0.850 5.852
Gd Sn Pm
2 1 1
Cartesian
0.822 -0.188 1.294
2.896 -0.662 4.558
-2.206 1.131 1.566
-0.347 0.706 4.492